{
  "formula": "Tm2InTe",
  "functional": "PBE",
  "state": "optimized geometry",
  "cell": [[4.451, 0.000, 0.000], [0.000, 23.511, 0.000], [0.000, 0.000, 4.226]],
  "species": ["Tm", "Tm", "Tm", "Tm", "Tm", "Tm", "Tm", "Tm", "In", "In", "In", "In", "Te", "Te", "Te", "Te"],
  "fractional_positions": [[0.000, 0.064, 0.250], [0.000, 0.327, 0.250], [0.000, 0.673, 0.750], [0.000, 0.936, 0.750], [0.500, 0.173, 0.750], [0.500, 0.436, 0.750], [0.500, 0.564, 0.250], [0.500, 0.827, 0.250], [0.000, 0.456, 0.250], [0.000, 0.544, 0.750], [0.500, 0.044, 0.750], [0.500, 0.956, 0.250], [0.000, 0.194, 0.250], [0.000, 0.806, 0.750], [0.500, 0.306, 0.750], [0.500, 0.694, 0.250]],
  "polymorph_energy_mev_per_atom": 0,
  "volume_a3_per_atom": 27.6,
  "raw_formation_energy_ev_per_atom": -0.84,
  "dos_ef_per_ev_atom": 0.48
}

{
  "formula": "Tm8In2Te",
  "functional": "PBE",
  "state": "optimized geometry",
  "cell": [[9.605, -2.481, 0.000], [9.605, 2.481, 0.000], [-1.361, 0.000, 6.683]],
  "species": ["Tm", "Tm", "Tm", "Tm", "Tm", "Tm", "Tm", "Tm", "In", "In", "Te"],
  "fractional_positions": [[0.024, 0.024, 0.254], [0.215, 0.215, 0.820], [0.344, 0.344, 0.507], [0.405, 0.405, 0.022], [0.595, 0.595, 0.978], [0.656, 0.656, 0.493], [0.785, 0.785, 0.180], [0.976, 0.976, 0.746], [0.185, 0.185, 0.257], [0.815, 0.815, 0.743], [0.500, 0.500, 0.500]],
  "volume_a3_per_atom": 29.0,
  "raw_formation_energy_ev_per_atom": -0.31,
  "dos_ef_per_ev_atom": 1.13
}

{
  "formula": "Tm4InTe",
  "functional": "PBE",
  "state": "optimized geometry",
  "cell": [[6.041, 0.000, 0.000], [0.000, 6.442, 0.000], [-0.459, 0.000, 8.504]],
  "species": ["Tm", "Tm", "Tm", "Tm", "Tm", "Tm", "Tm", "Tm", "In", "In", "Te", "Te"],
  "fractional_positions": [[0.129, 0.250, 0.344], [0.159, 0.750, 0.038], [0.356, 0.002, 0.692], [0.356, 0.498, 0.692], [0.644, 0.502, 0.308], [0.644, 0.998, 0.308], [0.841, 0.250, 0.962], [0.871, 0.750, 0.656], [0.187, 0.750, 0.388], [0.813, 0.250, 0.612], [0.339, 0.250, 0.025], [0.661, 0.750, 0.975]],
  "volume_a3_per_atom": 27.6,
  "raw_formation_energy_ev_per_atom": -0.54,
  "dos_ef_per_ev_atom": 0.83
}

{
  "formula": "Tm3InTe6",
  "functional": "PBE",
  "state": "optimized geometry",
  "cell": [[6.009, -7.464, 0.000], [6.009, 7.464, 0.000], [0.000, 0.000, 7.326]],
  "species": ["Tm", "Tm", "Tm", "Tm", "Tm", "Tm", "In", "In", "Te", "Te", "Te", "Te", "Te", "Te", "Te", "Te", "Te", "Te", "Te", "Te"],
  "fractional_positions": [[0.092, 0.908, 0.500], [0.220, 0.414, 0.395], [0.414, 0.220, 0.895], [0.586, 0.780, 0.395], [0.780, 0.586, 0.895], [0.908, 0.092, 0.000], [0.294, 0.706, 0.868], [0.706, 0.294, 0.368], [0.048, 0.599, 0.655], [0.126, 0.202, 0.701], [0.202, 0.126, 0.201], [0.277, 0.723, 0.249], [0.401, 0.952, 0.655], [0.467, 0.533, 0.696], [0.533, 0.467, 0.196], [0.599, 0.048, 0.155], [0.723, 0.277, 0.749], [0.798, 0.874, 0.701], [0.874, 0.798, 0.201], [0.952, 0.401, 0.155]],
  "volume_a3_per_atom": 32.9,
  "raw_formation_energy_ev_per_atom": -1.04
}

{
  "formula": "TmIn3Te4",
  "functional": "PBE",
  "state": "optimized geometry",
  "cell": [[2.193, 1.266, 15.685], [-2.193, 1.266, 15.685], [0.000, -2.532, 15.685]],
  "species": ["Tm", "In", "In", "In", "Te", "Te", "Te", "Te"],
  "fractional_positions": [[0.000, 0.000, 0.000], [0.248, 0.248, 0.248], [0.500, 0.500, 0.500], [0.752, 0.752, 0.752], [0.130, 0.130, 0.130], [0.370, 0.370, 0.370], [0.630, 0.630, 0.630], [0.870, 0.870, 0.870]],
  "volume_a3_per_atom": 32.7,
  "raw_formation_energy_ev_per_atom": -0.59,
  "dos_ef_per_ev_atom": 0.24
}

{
  "formula": "TmInTe4",
  "functional": "PBE",
  "state": "optimized geometry",
  "cell": [[5.219, -4.102, 0.000], [5.219, 4.102, 0.000], [0.000, 0.000, 9.842]],
  "species": ["Tm", "Tm", "In", "In", "Te", "Te", "Te", "Te", "Te", "Te", "Te", "Te"],
  "fractional_positions": [[0.093, 0.907, 0.750], [0.907, 0.093, 0.250], [0.462, 0.538, 0.250], [0.538, 0.462, 0.750], [0.121, 0.436, 0.750], [0.201, 0.799, 0.052], [0.201, 0.799, 0.448], [0.436, 0.121, 0.250], [0.564, 0.879, 0.750], [0.799, 0.201, 0.552], [0.799, 0.201, 0.948], [0.879, 0.564, 0.250]],
  "volume_a3_per_atom": 35.1,
  "raw_formation_energy_ev_per_atom": -0.46,
  "dos_ef_per_ev_atom": 0.68
}

{
  "formula": "Tm2InTe",
  "functional": "PBE",
  "state": "optimized geometry",
  "cell": [[4.085, 0.000, 0.000], [-2.042, 3.537, 0.000], [0.000, 0.000, 23.665]],
  "species": ["Tm", "Tm", "Tm", "Tm", "Tm", "Tm", "In", "In", "In", "Te", "Te", "Te"],
  "fractional_positions": [[0.000, 0.000, 0.249], [0.000, 0.000, 0.751], [0.333, 0.667, 0.418], [0.333, 0.667, 0.916], [0.667, 0.333, 0.084], [0.667, 0.333, 0.582], [0.000, 0.000, 0.000], [0.333, 0.667, 0.667], [0.667, 0.333, 0.333], [0.000, 0.000, 0.500], [0.333, 0.667, 0.167], [0.667, 0.333, 0.833]],
  "polymorph_energy_mev_per_atom": 78,
  "volume_a3_per_atom": 28.5,
  "raw_formation_energy_ev_per_atom": -0.76,
  "dos_ef_per_ev_atom": 0.47
}

{
  "formula": "Tm5In2Te",
  "functional": "PBE",
  "state": "optimized geometry",
  "cell": [[0.000, 5.503, 3.920], [5.085, 0.000, 3.920], [5.085, 5.503, 0.000]],
  "species": ["Tm", "Tm", "Tm", "Tm", "Tm", "In", "In", "Te"],
  "fractional_positions": [[0.000, 0.000, 0.000], [0.019, 0.511, 0.489], [0.094, 0.521, 0.906], [0.511, 0.019, 0.981], [0.521, 0.094, 0.479], [0.015, 0.015, 0.485], [0.515, 0.515, 0.985], [0.614, 0.614, 0.386]],
  "volume_a3_per_atom": 27.4,
  "raw_formation_energy_ev_per_atom": -0.39,
  "dos_ef_per_ev_atom": 0.82
}

- Which formula does entry 4 have?
  Tm3InTe6

Please write out number 4 again, unchanged.
{
  "formula": "Tm3InTe6",
  "functional": "PBE",
  "state": "optimized geometry",
  "cell": [[6.009, -7.464, 0.000], [6.009, 7.464, 0.000], [0.000, 0.000, 7.326]],
  "species": ["Tm", "Tm", "Tm", "Tm", "Tm", "Tm", "In", "In", "Te", "Te", "Te", "Te", "Te", "Te", "Te", "Te", "Te", "Te", "Te", "Te"],
  "fractional_positions": [[0.092, 0.908, 0.500], [0.220, 0.414, 0.395], [0.414, 0.220, 0.895], [0.586, 0.780, 0.395], [0.780, 0.586, 0.895], [0.908, 0.092, 0.000], [0.294, 0.706, 0.868], [0.706, 0.294, 0.368], [0.048, 0.599, 0.655], [0.126, 0.202, 0.701], [0.202, 0.126, 0.201], [0.277, 0.723, 0.249], [0.401, 0.952, 0.655], [0.467, 0.533, 0.696], [0.533, 0.467, 0.196], [0.599, 0.048, 0.155], [0.723, 0.277, 0.749], [0.798, 0.874, 0.701], [0.874, 0.798, 0.201], [0.952, 0.401, 0.155]],
  "volume_a3_per_atom": 32.9,
  "raw_formation_energy_ev_per_atom": -1.04
}